(1)
VASP calculation (PBE) on an optimized crystal structure of MgNpTcO6.

Geometry as POSCAR:
```
MgNpTcO6
1.0
-2.785 3.722 2.484
-2.202 -2.774 -3.903
-2.831 -6.057 5.902
Mg Np Tc O
2 2 2 12
Direct
0.333 0.667 0.250
0.667 0.333 0.750
0.667 0.333 0.250
0.333 0.667 0.750
0.000 0.000 0.000
0.000 0.000 0.500
0.681 0.678 0.126
0.997 0.319 0.126
0.319 0.997 0.626
0.003 0.681 0.874
0.322 0.319 0.374
0.997 0.678 0.374
0.678 0.997 0.874
0.681 0.003 0.374
0.003 0.322 0.626
0.322 0.003 0.126
0.678 0.681 0.626
0.319 0.322 0.874
```

volume: 11.92 Å³/atom
DFT total energy: -8.2675 eV/atom


(2)
VASP calculation (PBE) on an optimized crystal structure of ThMgNpO6.

Geometry as POSCAR:
```
ThMgNpO6
1.0
5.424 0.000 0.000
-2.712 4.697 0.000
0.000 0.000 10.123
Th Mg Np O
2 2 2 12
Direct
0.000 0.000 0.000
0.000 0.000 0.500
0.333 0.667 0.250
0.667 0.333 0.750
0.667 0.333 0.250
0.333 0.667 0.750
0.654 0.647 0.138
0.993 0.346 0.138
0.346 0.993 0.638
0.007 0.654 0.862
0.353 0.346 0.362
0.993 0.647 0.362
0.647 0.993 0.862
0.654 0.007 0.362
0.007 0.353 0.638
0.353 0.007 0.138
0.647 0.654 0.638
0.346 0.353 0.862
```

volume: 14.33 Å³/atom
DFT total energy: -8.8413 eV/atom


(3)
VASP calculation (PBE) on an optimized crystal structure of MgNpTl2O6.

Geometry as POSCAR:
```
MgNpTl2O6
1.0
5.865 0.000 -0.019
0.000 5.864 0.000
0.024 0.000 8.354
Mg Np Tl O
2 2 4 12
Direct
0.500 0.000 0.000
0.000 0.500 0.500
0.500 0.000 0.500
0.000 0.500 0.000
0.000 0.000 0.250
0.500 0.500 0.750
0.000 0.000 0.750
0.500 0.500 0.250
0.244 0.744 0.003
0.744 0.756 0.503
0.756 0.256 0.997
0.256 0.244 0.497
0.257 0.756 0.497
0.757 0.744 0.997
0.743 0.244 0.503
0.243 0.256 0.003
0.995 0.500 0.245
0.495 0.000 0.745
0.005 0.500 0.755
0.505 0.000 0.255
```

volume: 14.37 Å³/atom
DFT total energy: -6.7659 eV/atom
DOS(E_F): 0.3437 states/eV per atom


(4)
VASP calculation (PBE) on an optimized crystal structure of MgNp3Tl2O12.

Geometry as POSCAR:
```
MgNp3Tl2O12
1.0
7.480 -0.216 -0.153
3.506 6.611 -0.153
3.506 2.041 6.290
Mg Np Tl O
1 3 2 12
Direct
0.000 0.000 0.000
0.500 0.000 0.000
0.000 0.500 0.000
0.000 0.000 0.500
0.611 0.611 0.611
0.389 0.389 0.389
0.323 0.323 0.930
0.940 0.940 0.318
0.318 0.940 0.940
0.930 0.323 0.323
0.940 0.318 0.940
0.323 0.930 0.323
0.677 0.677 0.070
0.060 0.060 0.682
0.682 0.060 0.060
0.070 0.677 0.677
0.060 0.682 0.060
0.677 0.070 0.677
```

volume: 17.81 Å³/atom
DFT total energy: -8.1460 eV/atom
DOS(E_F): 0.5050 states/eV per atom


(5)
VASP calculation (PBE) on an optimized crystal structure of Mg2NpTlO8.

Geometry as POSCAR:
```
Mg2NpTlO8
1.0
-4.133 2.410 -0.613
0.047 -1.465 -4.591
-3.502 -5.555 1.741
Mg Np Tl O
2 1 1 8
Direct
0.500 0.500 0.750
0.500 0.500 0.250
0.000 0.000 0.000
0.000 0.000 0.500
0.201 0.796 0.211
0.701 0.704 0.000
0.799 0.204 0.211
0.799 0.204 0.789
0.299 0.296 0.000
0.201 0.796 0.789
0.686 0.689 0.500
0.314 0.311 0.500
```

volume: 13.15 Å³/atom
DFT total energy: -6.6204 eV/atom
DOS(E_F): 0.7248 states/eV per atom


(6)
VASP calculation (PBE) on an optimized crystal structure of MgNpTl2O8.

Geometry as POSCAR:
```
MgNpTl2O8
1.0
5.179 -0.146 -0.003
-0.125 5.172 -0.006
0.004 0.007 6.549
Mg Np Tl O
1 1 2 8
Direct
0.000 0.000 0.500
0.000 0.000 0.000
0.500 0.500 0.742
0.500 0.500 0.258
0.168 0.829 0.227
0.695 0.698 0.000
0.832 0.171 0.227
0.832 0.171 0.773
0.305 0.302 0.000
0.168 0.829 0.773
0.706 0.708 0.500
0.294 0.292 0.500
```

volume: 14.61 Å³/atom
DFT total energy: -6.4545 eV/atom
DOS(E_F): 0.6723 states/eV per atom


(7)
VASP calculation (PBE) on an optimized crystal structure of Mg2NpTl2O6.

Geometry as POSCAR:
```
Mg2NpTl2O6
1.0
-2.949 -3.454 3.181
4.239 -1.988 -2.970
3.579 3.229 4.952
Mg Np Tl O
2 1 2 6
Direct
0.334 0.666 0.500
0.666 0.334 0.500
0.000 0.000 0.500
0.828 0.172 0.000
0.172 0.828 0.000
0.738 0.738 0.660
0.055 0.382 0.662
0.262 0.262 0.340
0.382 0.055 0.662
0.945 0.618 0.338
0.618 0.945 0.338
```

volume: 16.01 Å³/atom
DFT total energy: -6.7454 eV/atom


(8)
VASP calculation (PBE) on an optimized crystal structure of MgNpTlO6.

Geometry as POSCAR:
```
MgNpTlO6
1.0
-2.126 1.467 4.867
-3.313 -0.768 -4.335
-0.921 -8.897 2.279
Mg Np Tl O
2 2 2 12
Direct
0.000 0.000 0.000
0.000 0.000 0.500
0.667 0.333 0.250
0.333 0.667 0.750
0.333 0.667 0.250
0.667 0.333 0.750
0.687 0.650 0.126
0.963 0.313 0.126
0.313 0.963 0.626
0.037 0.687 0.874
0.350 0.313 0.374
0.963 0.650 0.374
0.650 0.963 0.874
0.687 0.037 0.374
0.037 0.350 0.626
0.350 0.037 0.126
0.650 0.687 0.626
0.313 0.350 0.874
```

volume: 13.48 Å³/atom
DFT total energy: -7.0865 eV/atom


(9)
VASP calculation (PBE) on an optimized crystal structure of TmMg2NpO8.

Geometry as POSCAR:
```
TmMg2NpO8
1.0
-0.428 -3.608 -3.109
4.326 -1.558 1.234
-2.761 -3.838 4.834
Tm Mg Np O
1 2 1 8
Direct
0.000 0.000 0.500
0.500 0.500 0.758
0.500 0.500 0.242
0.000 0.000 0.000
0.178 0.791 0.232
0.694 0.720 0.000
0.822 0.209 0.232
0.822 0.209 0.768
0.306 0.280 0.000
0.178 0.791 0.768
0.644 0.702 0.500
0.356 0.298 0.500
```

volume: 12.83 Å³/atom
DFT total energy: -7.4514 eV/atom
DOS(E_F): 0.4149 states/eV per atom


(10)
VASP calculation (PBE) on an optimized crystal structure of TmMg2NpO6.

Geometry as POSCAR:
```
TmMg2NpO6
1.0
-3.011 -4.257 -1.650
2.074 -3.603 -3.554
1.418 -5.282 1.973
Tm Mg Np O
1 2 1 6
Direct
0.809 0.809 0.572
0.526 0.526 0.423
0.019 0.019 0.943
0.316 0.316 0.052
0.616 0.225 0.250
0.225 0.909 0.250
0.909 0.616 0.250
0.395 0.718 0.758
0.718 0.128 0.758
0.128 0.395 0.758
```

volume: 12.64 Å³/atom
DFT total energy: -8.0157 eV/atom
DOS(E_F): 0.7966 states/eV per atom


(11)
VASP calculation (PBE) on an optimized crystal structure of MgNpUO6.

Geometry as POSCAR:
```
MgNpUO6
1.0
-0.625 -3.908 3.710
4.377 0.024 -3.203
4.693 5.377 6.454
Mg Np U O
2 2 2 12
Direct
0.333 0.667 0.250
0.667 0.333 0.750
0.000 0.000 0.000
0.000 0.000 0.500
0.667 0.333 0.250
0.333 0.667 0.750
0.665 0.663 0.133
0.998 0.335 0.133
0.335 0.998 0.633
0.002 0.665 0.867
0.337 0.335 0.367
0.998 0.663 0.367
0.663 0.998 0.867
0.665 0.002 0.367
0.002 0.337 0.633
0.337 0.002 0.133
0.663 0.665 0.633
0.335 0.337 0.867
```

volume: 13.62 Å³/atom
DFT total energy: -9.1278 eV/atom
DOS(E_F): 1.3763 states/eV per atom